(1)
DFT (PBE) results for crystalline La13Mg2 at its relaxed geometry.

- Magnetic moment: 0.00 Bohr magnetons per cell
- Energy of formation: -0.006 eV/atom
- Density of states at the Fermi level: 1.5347 states/eV/atom

Cell lengths 6.3830, 9.0009, 9.7319 Å; angles 70.59, 83.82, 88.89 degrees
Atoms (fractional coordinates):
La  0.0000  0.0000  0.0000
La  0.1368  0.2556  0.2149
La  0.2045  0.4022  0.8062
La  0.2592  0.5287  0.4054
La  0.3310  0.6655  0.9965
La  0.3886  0.8083  0.5929
La  0.4736  0.9302  0.2011
La  0.5264  0.0698  0.7989
La  0.6114  0.1917  0.4071
La  0.6690  0.3345  0.0035
La  0.7408  0.4713  0.5946
La  0.7955  0.5978  0.1938
La  0.8632  0.7444  0.7851
Mg  0.0699  0.1368  0.6041
Mg  0.9301  0.8632  0.3959



(2)
DFT (PBE) results for crystalline Li2TlP at its relaxed geometry.

- Magnetic moment: 0.00 Bohr magnetons per cell
- Energy of formation: -0.268 eV/atom
- Density of states at the Fermi level: 0.3729 states/eV/atom

Cell lengths 3.0183, 3.7295, 6.3548 Å; angles 90.00, 90.58, 90.00 degrees
Atoms (fractional coordinates):
Li  0.0030  0.0000  0.3095
Li  0.9970  0.0000  0.6905
Tl  0.5000  0.5000  0.0000
P  0.5000  0.5000  0.5000



(3)
DFT (PBE) results for crystalline Na4OF3 at its relaxed geometry.

- Magnetic moment: 1.00 Bohr magnetons per cell
- Formation energy from raw total energies: -2.182 eV/atom

Cell lengths 5.8371, 5.8371, 5.8371 Å; angles 132.11, 132.11, 70.06 degrees
Atoms (fractional coordinates):
Na  0.0000  0.5000  0.5000
Na  0.2395  0.2395  0.0000
Na  0.5000  0.0000  0.5000
Na  0.7605  0.7605  0.0000
O  0.5000  0.5000  0.0000
F  0.0000  0.0000  0.0000
F  0.2500  0.7500  0.5000
F  0.7500  0.2500  0.5000



(4)
DFT (PBE) results for crystalline Li3ErGe3 at its relaxed geometry.

- Magnetic moment: 0.00 Bohr magnetons per cell
- Energy of formation: 0.245 eV/atom
- Density of states at the Fermi level: 0.8574 states/eV/atom

Cell lengths 6.6141, 6.6141, 6.6141 Å; angles 90.00, 90.00, 90.00 degrees
Atoms (fractional coordinates):
Li  0.0000  0.2500  0.5000
Li  0.0000  0.7500  0.5000
Li  0.2500  0.5000  0.0000
Li  0.5000  0.0000  0.2500
Li  0.5000  0.0000  0.7500
Li  0.7500  0.5000  0.0000
Er  0.0000  0.0000  0.0000
Er  0.5000  0.5000  0.5000
Ge  0.0000  0.5000  0.2500
Ge  0.0000  0.5000  0.7500
Ge  0.2500  0.0000  0.5000
Ge  0.5000  0.2500  0.0000
Ge  0.5000  0.7500  0.0000
Ge  0.7500  0.0000  0.5000



(5)
DFT (PBE) results for crystalline RbPuRe2O8 at its relaxed geometry.

- Magnetic moment: 7.02 Bohr magnetons per cell
- Density of states at the Fermi level: 0.4073 states/eV/atom
- Formation energy from raw total energies: -1.891 eV/atom

Cell lengths 9.0118, 9.0118, 9.0118 Å; angles 37.01, 37.01, 37.01 degrees
Atoms (fractional coordinates):
Rb  0.0000  0.0000  0.0000
Pu  0.5000  0.5000  0.5000
Re  0.2448  0.2448  0.2448
Re  0.7552  0.7552  0.7552
O  0.0955  0.4996  0.7431
O  0.2569  0.9045  0.5004
O  0.3150  0.3150  0.3150
O  0.5004  0.2569  0.9045
O  0.4996  0.7431  0.0955
O  0.6850  0.6850  0.6850
O  0.7431  0.0955  0.4996
O  0.9045  0.5004  0.2569



(6)
DFT (PBE) results for crystalline ZnHgBrF2 at its relaxed geometry.

- Magnetic moment: 0.00 Bohr magnetons per cell
- Density of states at the Fermi level: 0.1673 states/eV/atom
- Formation energy from raw total energies: -1.240 eV/atom

Cell lengths 3.9986, 3.9986, 6.7745 Å; angles 90.00, 90.00, 90.00 degrees
Atoms (fractional coordinates):
Zn  0.0000  0.0000  0.0000
Hg  0.0000  0.0000  0.5000
Br  0.5000  0.5000  0.5000
F  0.0000  0.5000  0.0000
F  0.5000  0.0000  0.0000



(7)
DFT (PBE) results for crystalline Pa5Ga4 at its relaxed geometry.

- Magnetic moment: 0.00 Bohr magnetons per cell
- Energy of formation: -0.208 eV/atom
- Density of states at the Fermi level: 2.0355 states/eV/atom

Cell lengths 8.8344, 8.8344, 6.0301 Å; angles 90.00, 90.00, 120.00 degrees
Atoms (fractional coordinates):
Pa  0.0000  0.2938  0.2500
Pa  0.0000  0.7062  0.7500
Pa  0.2938  0.0000  0.2500
Pa  0.2938  0.2938  0.7500
Pa  0.3333  0.6667  0.0000
Pa  0.3333  0.6667  0.5000
Pa  0.6667  0.3333  0.0000
Pa  0.6667  0.3333  0.5000
Pa  0.7062  0.0000  0.7500
Pa  0.7062  0.7062  0.2500
Ga  0.0000  0.0000  0.0000
Ga  0.0000  0.0000  0.5000
Ga  0.0000  0.3677  0.7500
Ga  0.0000  0.6323  0.2500
Ga  0.3677  0.0000  0.7500
Ga  0.3677  0.3677  0.2500
Ga  0.6323  0.0000  0.2500
Ga  0.6323  0.6323  0.7500



(8)
DFT (PBE) results for crystalline CuSbW2 at its relaxed geometry.

- Magnetic moment: 0.00 Bohr magnetons per cell
- Density of states at the Fermi level: 0.8735 states/eV/atom
- Formation energy from raw total energies: 0.854 eV/atom

Cell lengths 2.8397, 2.8397, 8.6073 Å; angles 90.00, 90.00, 104.43 degrees
Atoms (fractional coordinates):
Cu  0.0000  0.0000  0.0000
Sb  0.0000  0.0000  0.5000
W  0.5000  0.5000  0.2291
W  0.5000  0.5000  0.7709



> The highest magnetic moment belongs to which entry?

RbPuRe2O8